1.
## Be2CdHgB (PBE)

Data for a relaxed structure of Be2CdHgB.

The space group is P4/mmm (No. 123) and the conventional cell measures 4.421, 4.421 and 5.437 Å, with angles of 90.00, 90.00 and 90.00 degrees. The distinct sites, in fractional coordinates, are Be at (0.000, 0.500, 0.000), Cd at (0.000, 0.000, 0.500), Hg at (0.000, 0.000, 0.000) and B at (0.500, 0.500, 0.500).

Its formation enthalpy at 0 K is 1.57 eV/atom. As for the theoretical density: 5.3 Mg/m³.

=====

2.
## BeCdIn2B (PBE)

Data for a relaxed structure of BeCdIn2B.

The space group is P4/mmm (No. 123) and the conventional cell measures 4.935, 4.935 and 4.797 Å, with angles of 90.00, 90.00 and 90.00 degrees. The distinct sites, in fractional coordinates, are Be at (0.000, 0.000, 0.000), Cd at (0.000, 0.000, 0.500), In at (0.000, 0.500, 0.000) and B at (0.500, 0.500, 0.500).

Its formation enthalpy at 0 K is 1.11 eV/atom. As for the theoretical density: 5.1 Mg/m³.

=====

3.
## BeCd2InB (PBE)

Data for a relaxed structure of BeCd2InB.

The space group is P4/mmm (No. 123) and the conventional cell measures 4.704, 4.704 and 4.681 Å, with angles of 90.00, 90.00 and 90.00 degrees. The distinct sites, in fractional coordinates, are Be at (0.000, 0.000, 0.000), Cd at (0.000, 0.500, 0.000), In at (0.000, 0.000, 0.500) and B at (0.500, 0.500, 0.500).

Its formation enthalpy at 0 K is 1.08 eV/atom. As for the theoretical density: 5.8 Mg/m³.

=====

- Which of these has the highest theoretical density?
  BeCd2InB